Record 1
HfZrSi2Pt2 | PBE | optimized geometry

Unit cell a=8.649 b=4.324 c=12.975 alpha=90.00 beta=109.46 gamma=90.00
Fractional positions:
Si  0.312  0.500  0.625
Pt  0.123  0.500  0.749
Pt  0.628  0.500  0.751
Pt  0.753  0.000  0.501
Hf  0.813  0.000  0.125
Pt  0.501  0.000  0.002
Si  0.437  0.000  0.374
Si  0.937  0.000  0.375
Pt  0.374  0.500  0.248
Hf  0.938  0.500  0.875
Zr  0.187  0.500  0.375
Hf  0.312  0.000  0.125
Zr  0.687  0.500  0.375
Pt  0.248  0.000  0.501
Si  0.814  0.500  0.626
Si  0.689  0.000  0.876
Zr  0.437  0.500  0.875
Zr  0.563  0.000  0.625
Hf  0.063  0.000  0.625
Pt  0.874  0.500  0.248
Si  0.062  0.500  0.124
Si  0.187  0.000  0.875
Si  0.562  0.500  0.125
Pt  0.000  0.000  0.000

Summary:
Size of the total moment, μB per formula unit: 0.004
Symmetry: Pm, No. 6
Final energy, eV per atom: -7.930

Record 2
CsLiU | PBE | optimized geometry

Unit cell a=5.711 b=5.711 c=5.711 alpha=60.00 beta=60.00 gamma=60.00
Fractional positions:
U  0.000  0.000  0.000
Li  0.250  0.250  0.250
Cs  0.500  0.500  0.500

Summary:
Size of the total moment, μB per formula unit: 3.980
Offset from the most stable computed form, meV/atom: 0
Symmetry: F-43m, No. 216

Record 3
FeCuNiSn | PBE | optimized geometry

Unit cell a=4.208 b=4.208 c=4.208 alpha=60.00 beta=60.00 gamma=60.00
Fractional positions:
Cu  0.500  0.500  0.500
Fe  0.750  0.750  0.750
Ni  0.250  0.250  0.250
Sn  0.000  0.000  0.000

Summary:
Size of the total moment, μB per formula unit: 2.069
Offset from the most stable computed form, meV/atom: 0
Symmetry: F-43m, No. 216

Record 4
Zr6Zn23Si | PBE | optimized geometry

Unit cell a=8.743 b=8.743 c=8.743 alpha=120.00 beta=90.00 gamma=120.00
Fractional positions:
Zn  0.000  0.000  0.500
Zn  0.130  0.753  0.377
Zn  0.836  0.671  0.507
Zn  0.500  0.500  0.500
Zn  0.000  0.500  0.500
Zn  0.836  0.329  0.164
Zn  0.836  0.671  0.164
Zn  0.164  0.329  0.836
Zn  0.377  0.753  0.623
Zr  0.211  0.000  0.789
Zn  0.507  0.671  0.836
Zn  0.623  0.247  0.870
Zn  0.000  0.500  0.000
Zn  0.500  0.500  0.000
Zn  0.623  0.753  0.377
Zn  0.870  0.247  0.623
Zr  0.789  0.000  0.789
Zn  0.164  0.329  0.493
Zn  0.623  0.247  0.377
Zr  0.789  0.577  0.789
Zr  0.211  0.000  0.211
Si  0.000  0.000  0.000
Zn  0.377  0.247  0.623
Zn  0.500  0.000  0.500
Zn  0.500  0.000  0.000
Zn  0.493  0.329  0.164
Zr  0.211  0.423  0.211
Zr  0.789  0.000  0.211
Zn  0.377  0.753  0.130
Zn  0.164  0.671  0.836

Summary:
Size of the total moment, μB per formula unit: 0.016
Symmetry: Fm-3m, No. 225
Final energy, eV per atom: -3.152